A plane-wave DFT calculation with PBE was carried out for a relaxed YGePd2 crystal.

Summary:
Calculated volume ... 18.9 Å³ per atom

Cell: 4.3707 5.9722 5.7886 Å, 90.00 90.00 90.00°
Last column: nearest neighbours and their distance in Å.
Space group Pmn2_1 (No. 31)
Symmetry-distinct sites (fractional):
Y  0.0000  0.0923  0.0000 (multiplicity 2)  7 Pd 2.93-3.10, 3 Ge 3.18-3.20
Ge  0.0000  0.6120  0.2358 (multiplicity 2)  7 Pd 2.67-2.99
Pd  0.0000  0.2499  0.5108 (multiplicity 2)  3 Ge 2.67-2.69, 3 Pd 2.76-2.80, 3 Y 2.98-2.99
Pd  0.0000  0.6632  0.7225 (multiplicity 2)  4 Ge 2.74-2.99, 3 Pd 2.76-2.80, 3 Y 2.93-3.02

A plane-wave DFT calculation with PBE was carried out for a relaxed TbYS2Br2 crystal.

Summary:
Calculated volume ... 33.4 Å³ per atom

Cell: 4.0837 5.3793 9.1267 Å, 90.00 90.00 90.00°
Last column: nearest neighbours and their distance in Å.
Space group Pmm2 (No. 25)
Symmetry-distinct sites (fractional):
Tb  0.0000  0.0000  0.0000 (multiplicity 1)  4 S 2.73-2.76, 2 Br 2.84
Y  0.5000  0.5000  0.7450 (multiplicity 1)  4 S 2.73-2.75, 2 Br 2.83
S  0.0000  0.5000  0.9470 (multiplicity 1)  2 Tb 2.73, 2 Y 2.75
S  0.5000  0.0000  0.7967 (multiplicity 1)  2 Y 2.73, 2 Tb 2.76
Br  0.0000  0.5000  0.5298 (multiplicity 1)  2 Y 2.83
Br  0.5000  0.0000  0.2168 (multiplicity 1)  2 Tb 2.84

| no. | final energy (eV for the cell shown) |
| --- | --- |
| 1 | -48.98 |
| 2 | -34.80 |